ZrTeWO2 (GGA+U, relaxed); D(E_F) = 0.42 states/eV/atom; final energy = -26.227 eV/cell; V = 101.6 Å³ per cell; total magnetization = 2.20 Bohr magnetons per cell
1.0
4.197 0.000 0.000
0.000 4.197 0.000
0.000 0.000 5.769
Zr Te W O
1 1 1 2
Cartesian
0.000 0.000 0.000
0.000 0.000 2.884
2.099 2.099 0.000
0.000 2.099 2.884
2.099 0.000 2.884